Zr2TiPtO (PBE, optimized geometry); energy relative to the elements, uncorrected = -1438 meV per atom; energy = -8.636 eV/atom; calculated volume = 80.6 Å³/cell
1.0
-4.450 0.507 0.181
-0.447 -2.643 -3.593
-0.268 -3.208 2.392
O Zr Pt Ti
1 2 1 1
Cartesian
0.000 0.000 0.000
-0.223 -1.321 -1.797
-2.225 0.253 0.090
-2.582 -2.672 -0.510
-0.134 -1.604 1.196

---

Hg2BAs2 (PBE, optimized geometry); energy = -2.519 eV/atom; calculated volume = 227.3 Å³/cell
1.0
-2.602 -5.590 1.449
4.499 -0.965 4.353
-3.238 2.520 3.907
As B Hg
4 2 4
Cartesian
0.881 -0.090 4.897
0.639 -3.112 6.646
-2.223 -3.945 4.811
-1.980 -0.923 3.062
0.000 0.000 0.000
0.949 -3.278 2.901
2.653 -1.876 3.409
1.689 -4.743 4.460
-0.755 -4.680 2.393
0.208 -1.812 1.342

---

SrSc2InRu (PBE, optimized geometry); energy = -5.505 eV/atom; calculated volume = 134.6 Å³/cell
1.0
-2.421 2.487 3.620
3.554 -1.318 3.283
2.753 4.429 -1.202
Sc Ru Sr In
2 1 1 1
Cartesian
1.777 -0.659 1.641
-1.210 1.243 1.810
0.000 0.000 0.000
1.943 2.799 2.850
1.376 2.214 -0.601